(1)
Ce2AlZn | Alexandria | GGA-PBE | optimized geometry; formation energy = 0.1125 eV/atom; VASP energy = -4.11 eV per atom; symmetry = R-3m, No. 166; total magnetic moment = 0.000 μB per atom
1.0
3.011 0.000 0.000
1.505 2.607 0.000
1.505 0.869 11.648
Zn Al Ce
1 1 2
direct
0.000 0.000 0.000
0.500 0.500 0.500
0.090 0.090 0.731
0.910 0.910 0.269

(2)
CaNiRh | Alexandria | GGA-PBE | optimized geometry; formation energy = -0.3498 eV/atom; VASP energy = -5.39 eV per atom; symmetry = C2/m, No. 12; total magnetic moment = 0.000 μB per atom
1.0
-2.927 1.835 -4.096
-3.843 -3.109 1.354
-4.748 1.994 0.798
Ni Ca Rh
2 2 2
direct
0.709 0.378 0.963
0.709 0.878 0.963
0.083 0.501 0.215
0.335 0.254 0.710
0.709 0.878 0.463
0.209 0.878 0.463

(3)
TaFe4Ag | Alexandria | GGA-PBE | optimized geometry; formation energy = 0.0199 eV/atom; VASP energy = -8.07 eV per atom; symmetry = F-43m, No. 216; total magnetic moment = 1.000 μB per atom
1.0
4.151 -0.400 2.381
0.176 -2.453 4.125
2.265 -4.230 0.183
Ta Fe Ag
1 4 1
direct
0.250 0.250 0.250
0.626 0.626 0.123
0.626 0.123 0.626
0.626 0.626 0.626
0.123 0.626 0.626
0.000 0.000 0.000

(4)
YBe2CdFe | Alexandria | GGA-PBE | optimized geometry; formation energy = 0.2931 eV/atom; VASP energy = -4.37 eV per atom; symmetry = P4/mmm, No. 123; total magnetic moment = 0.000 μB per atom
1.0
-3.531 -2.225 -0.778
2.297 -2.470 -3.362
1.167 -2.868 2.904
Y Be Fe Cd
1 2 1 1
direct
0.500 0.500 0.500
0.000 0.000 0.500
0.500 0.000 0.000
0.000 0.000 0.000
0.000 0.500 0.000